Record 1
Here is a relaxed structure of NaGd2Th from the Alexandria database. Energies are from PBE-GGA.

The value obtained for the energy of formation is 0.13 eV per atom. The total magnetic moment is 14.7 μB/f.u. The density of states at the Fermi level comes out at 1.1217 states/eV/atom. The calculation puts the distance to the lowest polymorph of the same formula at 0.17 eV/f.u.

The structure belongs to space group R-3m (No. 166, hexagonal axes); the cell edges are 3.5579, 3.5579 and 37.8015 Å and the angles 90.00°, 90.00° and 120.00°. Symmetry generates all atoms from Na at (0.0000, 0.0000, 0.0000), Gd at (0.0000, 0.0000, 0.0932) and Th at (0.0000, 0.0000, 0.5000).


Record 2
Here is a relaxed structure of Ta2ReIr5Ru from the Alexandria database. Energies are from PBE-GGA.

The value obtained for the energy of formation is 0.52 eV per atom. The total magnetic moment is 0.0 μB/f.u. The density of states at the Fermi level comes out at 1.1676 states/eV/atom.

The structure belongs to space group I4/mcm (No. 140); the cell edges are 7.0753, 7.0753 and 11.8924 Å and the angles 90.00°, 90.00° and 90.00°. Symmetry generates all atoms from Ta at (0.1244, 0.3756, 0.0000), Re at (0.0000, 0.0000, 0.2500), Ir at (0.0000, 0.0000, 0.0000), Ir at (0.2090, 0.2910, 0.3542) and Ru at (0.0000, 0.5000, 0.2500).


Record 3
Here is a relaxed structure of ScTlOF2 from the Alexandria database. Energies are from PBE-GGA.

The value obtained for the uncorrected formation energy is -1.18 eV per atom. The total magnetic moment is 1.2 μB/f.u. The density of states at the Fermi level comes out at 1.0560 states/eV/atom. The calculation puts the distance to the lowest polymorph of the same formula at 8.36 eV/f.u.

The structure belongs to space group P4/mmm (No. 123); the cell edges are 4.6164, 4.6164 and 4.3140 Å and the angles 90.00°, 90.00° and 90.00°. Symmetry generates all atoms from Sc at (0.0000, 0.0000, 0.0000), Tl at (0.5000, 0.5000, 0.5000), O at (0.5000, 0.5000, 0.0000) and F at (0.0000, 0.5000, 0.5000).


Record 4
Here is a relaxed structure of ErTmMg3 from the Alexandria database. Energies are from PBE-GGA.

The value obtained for the energy of formation is -0.04 eV per atom. The total magnetic moment is 0.0 μB/f.u. The density of states at the Fermi level comes out at 0.8401 states/eV/atom. The calculation puts the distance to the lowest polymorph of the same formula at 0.00 eV/f.u.

The structure belongs to space group Cmcm (No. 63); the cell edges are 3.2967, 30.6710 and 5.1676 Å and the angles 90.00°, 90.00° and 90.00°. Symmetry generates all atoms from Er at (0.0000, 0.0744, 0.2500), Tm at (0.0000, 0.2201, 0.7500), Mg at (0.0000, 0.3264, 0.7500), Mg at (0.0000, 0.3773, 0.2500) and Mg at (0.0000, 0.4757, 0.2500).


Record 5
Here is a relaxed structure of Ac2ErThS4 from the Alexandria database. Energies are from PBE-GGA.

The value obtained for the uncorrected formation energy is -1.92 eV per atom. The total magnetic moment is 0.0 μB/f.u. The density of states at the Fermi level comes out at 0.4114 states/eV/atom.

The structure belongs to space group P2/m (No. 10); the cell edges are 7.1313, 4.0743 and 7.2337 Å and the angles 90.00°, 108.74° and 90.00°. Symmetry generates all atoms from Ac at (0.0000, 0.0000, 0.0000), Ac at (0.5000, 0.5000, 0.0000), Er at (0.0000, 0.5000, 0.5000), Th at (0.5000, 0.0000, 0.5000), S at (0.2318, 0.0000, 0.7203) and S at (0.2485, 0.5000, 0.2738).


Record 6
Here is a relaxed structure of ScCr2Ga2 from the Alexandria database. Energies are from PBE-GGA.

The value obtained for the energy of formation is 0.01 eV per atom. The total magnetic moment is 1.0 μB/f.u. The density of states at the Fermi level comes out at 1.0826 states/eV/atom. The calculation puts the distance to the lowest polymorph of the same formula at 0.73 eV/f.u.

The structure belongs to space group P4/mbm (No. 127); the cell edges are 6.8714, 6.8714 and 3.1852 Å and the angles 90.00°, 90.00° and 90.00°. Symmetry generates all atoms from Sc at (0.0000, 0.0000, 0.0000), Cr at (0.1694, 0.3306, 0.5000) and Ga at (0.1283, 0.6283, 0.0000).


Record 7
Here is a relaxed structure of LaPm2Y2 from the Alexandria database. Energies are from PBE-GGA.

The value obtained for the energy of formation is 0.23 eV per atom. The total magnetic moment is 0.0 μB/f.u. The density of states at the Fermi level comes out at 1.6255 states/eV/atom. The calculation puts the distance to the lowest polymorph of the same formula at 0.00 eV/f.u.

The structure belongs to space group C2/c (No. 15); the cell edges are 8.8561, 9.4148 and 8.9073 Å and the angles 90.00°, 109.14° and 90.00°. Symmetry generates all atoms from La at (0.0000, 0.1982, 0.2500), Pm at (0.0000, 0.5000, 0.0000), Pm at (0.2500, 0.2500, 0.0000) and Y at (0.1558, 0.0981, 0.6336).


Record 8
Here is a relaxed structure of Ca2ScF from the Alexandria database. Energies are from PBE-GGA.

The value obtained for the uncorrected formation energy is -0.19 eV per atom. The total magnetic moment is 1.2 μB/f.u. The density of states at the Fermi level comes out at 2.1120 states/eV/atom. The calculation puts the distance to the lowest polymorph of the same formula at 3.62 eV/f.u.

The structure belongs to space group Fm-3m (No. 225); the cell edges are 7.9145, 7.9145 and 7.9145 Å and the angles 90.00°, 90.00° and 90.00°. Symmetry generates all atoms from Ca at (0.2500, 0.2500, 0.2500), Sc at (0.0000, 0.0000, 0.0000) and F at (0.0000, 0.0000, 0.5000).


Please write out number 2 again, unchanged.
Here is a relaxed structure of Ta2ReIr5Ru from the Alexandria database. Energies are from PBE-GGA.

The value obtained for the energy of formation is 0.52 eV per atom. The total magnetic moment is 0.0 μB/f.u. The density of states at the Fermi level comes out at 1.1676 states/eV/atom.

The structure belongs to space group I4/mcm (No. 140); the cell edges are 7.0753, 7.0753 and 11.8924 Å and the angles 90.00°, 90.00° and 90.00°. Symmetry generates all atoms from Ta at (0.1244, 0.3756, 0.0000), Re at (0.0000, 0.0000, 0.2500), Ir at (0.0000, 0.0000, 0.0000), Ir at (0.2090, 0.2910, 0.3542) and Ru at (0.0000, 0.5000, 0.2500).


Which of these has the highest total magnetic moment?
NaGd2Th